Here is a geometry-optimized PaAlCrMo structure from Alexandria via LeMat-Bulk. Energies are from PBE.

The formation enthalpy at 0 K is -0.021 eV/atom.

It has space group F-43m (No. 216), with a = 6.4729 Å, b = 6.4729 Å, c = 6.4729 Å, α = 90.00°, β = 90.00° and γ = 90.00°. The asymmetric unit holds Pa at (0.0000, 0.0000, 0.0000), Al at (0.0000, 0.0000, 0.5000), Cr at (0.2500, 0.2500, 0.2500) and Mo at (0.2500, 0.2500, 0.7500).

Here is a geometry-optimized Al2CrReMo structure from Alexandria via LeMat-Bulk. Energies are from PBE.

The formation enthalpy at 0 K is 1.283 eV/atom.

It has space group P4/mmm (No. 123), with a = 4.7602 Å, b = 4.7602 Å, c = 4.7564 Å, α = 90.00°, β = 90.00° and γ = 90.00°. The asymmetric unit holds Al at (0.0000, 0.5000, 0.0000), Cr at (0.0000, 0.0000, 0.5000), Re at (0.5000, 0.5000, 0.5000) and Mo at (0.5000, 0.5000, 0.0000).

Here is a geometry-optimized ScAlCrMo structure from Alexandria via LeMat-Bulk. Energies are from PBE.

The formation enthalpy at 0 K is -0.058 eV/atom.

It has space group F-43m (No. 216), with a = 6.3109 Å, b = 6.3109 Å, c = 6.3109 Å, α = 90.00°, β = 90.00° and γ = 90.00°. The asymmetric unit holds Sc at (0.0000, 0.0000, 0.0000), Al at (0.2500, 0.2500, 0.7500), Cr at (0.2500, 0.2500, 0.2500) and Mo at (0.0000, 0.0000, 0.5000).

Here is a geometry-optimized ScAlCrMo2 structure from Alexandria via LeMat-Bulk. Energies are from PBE.

The formation enthalpy at 0 K is 1.187 eV/atom.

It has space group P4/mmm (No. 123), with a = 4.6413 Å, b = 4.6413 Å, c = 4.3392 Å, α = 90.00°, β = 90.00° and γ = 90.00°. The asymmetric unit holds Sc at (0.0000, 0.0000, 0.0000), Al at (0.5000, 0.5000, 0.5000), Cr at (0.5000, 0.5000, 0.0000) and Mo at (0.0000, 0.5000, 0.5000).

Here is a geometry-optimized AlCr2MoSe structure from Alexandria via LeMat-Bulk. Energies are from PBE.

For the formation energy from raw total energies, the calculation gives 1.08 eV per atom.

It has space group P4/mmm (No. 123), with a = 4.6766 Å, b = 4.6766 Å, c = 4.9263 Å, α = 90.00°, β = 90.00° and γ = 90.00°. The asymmetric unit holds Al at (0.0000, 0.0000, 0.0000), Cr at (0.0000, 0.5000, 0.5000), Mo at (0.0000, 0.0000, 0.5000) and Se at (0.5000, 0.5000, 0.0000).

Here is a geometry-optimized SrAlCrMo2 structure from Alexandria via LeMat-Bulk. Energies are from PBE.

The formation enthalpy at 0 K is 1.473 eV/atom.

It has space group P4/mmm (No. 123), with a = 4.8400 Å, b = 4.8400 Å, c = 4.6173 Å, α = 90.00°, β = 90.00° and γ = 90.00°. The asymmetric unit holds Sr at (0.0000, 0.0000, 0.0000), Al at (0.5000, 0.5000, 0.5000), Cr at (0.5000, 0.5000, 0.0000) and Mo at (0.0000, 0.5000, 0.5000).

Here is a geometry-optimized Ta2AlCrMo structure from Alexandria via LeMat-Bulk. Energies are from PBE.

The formation enthalpy at 0 K is 0.942 eV/atom.

It has space group P4/mmm (No. 123), with a = 4.6101 Å, b = 4.6101 Å, c = 4.4716 Å, α = 90.00°, β = 90.00° and γ = 90.00°. The asymmetric unit holds Ta at (0.0000, 0.5000, 0.0000), Al at (0.0000, 0.0000, 0.5000), Cr at (0.5000, 0.5000, 0.0000) and Mo at (0.5000, 0.5000, 0.5000).

Here is a geometry-optimized YAlCr2Mo structure from Alexandria via LeMat-Bulk. Energies are from PBE.

The formation enthalpy at 0 K is 1.251 eV/atom.

It has space group P4/mmm (No. 123), with a = 4.4810 Å, b = 4.4810 Å, c = 5.3201 Å, α = 90.00°, β = 90.00° and γ = 90.00°. The asymmetric unit holds Y at (0.0000, 0.0000, 0.0000), Al at (0.5000, 0.5000, 0.0000), Cr at (0.0000, 0.5000, 0.5000) and Mo at (0.0000, 0.0000, 0.5000).